Record 1
Compound: ZrZnCoOs
Source: the Open Quantum Materials Database
Functional: PBE
Structure: relaxed

Unit cell a=4.3924 b=4.3924 c=4.3924 alpha=60.00 beta=60.00 gamma=60.00
Last column: nearest neighbours and their distance in Å.
Element x y z (fractional)
Zr: 0.0000 0.0000 0.0000  4 Co 2.69, 4 Os 2.69
Zn: 0.5000 0.5000 0.5000  4 Co 2.69, 4 Os 2.69
Co: 0.7500 0.7500 0.7500  4 Zn 2.69, 4 Zr 2.69
Os: 0.2500 0.2500 0.2500  4 Zn 2.69, 4 Zr 2.69

Results
M_tot = 0.0 μB/cell
energy above the most stable polymorph in this dataset = 0.00 eV per formula unit
energy of formation = -0.092 eV/atom

***

Record 2
Compound: HgSb2W
Source: the Open Quantum Materials Database
Functional: PBE
Structure: relaxed

Unit cell a=5.0145 b=5.0145 c=5.0145 alpha=60.00 beta=60.00 gamma=60.00
Last column: nearest neighbours and their distance in Å.
Element x y z (fractional)
Hg: 0.0000 0.0000 0.0000  4 W 3.07, 4 Sb 3.07
Sb: 0.2500 0.2500 0.2500  4 Sb 3.07, 4 Hg 3.07
Sb: 0.5000 0.5000 0.5000  4 W 3.07, 4 Sb 3.07
W: 0.7500 0.7500 0.7500  4 Hg 3.07, 4 Sb 3.07

Results
M_tot = 1.5 μB/cell
E_tot = -4.37 eV per atom

***

Record 3
Compound: SrZnSO
Source: the Open Quantum Materials Database
Functional: PBE
Structure: relaxed

Unit cell a=4.0398 b=4.0398 c=10.5481 alpha=90.00 beta=90.00 gamma=90.00
Last column: nearest neighbours and their distance in Å.
Element x y z (fractional)
Sr: 0.2500 0.2500 0.1068  4 O 2.31
Sr: 0.7500 0.7500 0.8932  4 O 2.31
Zn: 0.2500 0.2500 0.5987  1 S 2.30
Zn: 0.7500 0.7500 0.4013  1 S 2.30
S: 0.2500 0.2500 0.3809  1 Zn 2.30
S: 0.7500 0.7500 0.6191  1 Zn 2.30
O: 0.2500 0.7500 0.0000  4 Sr 2.31
O: 0.7500 0.2500 0.0000  4 Sr 2.31

Results
E_tot = -4.22 eV per atom

***

Record 4
Compound: MoC
Source: the Open Quantum Materials Database
Functional: PBE
Structure: relaxed

Unit cell a=2.9201 b=2.9201 c=2.8337 alpha=90.00 beta=90.00 gamma=120.00
Last column: nearest neighbours and their distance in Å.
Element x y z (fractional)
Mo: 0.0000 0.0000 0.0000  6 C 2.20
C: 0.3333 0.6667 0.5000  6 Mo 2.20

Results
M_tot = 0.0 μB/cell
energy above the most stable polymorph in this dataset = 0.00 eV per formula unit

***

Record 5
Compound: PrYHo
Source: the Open Quantum Materials Database
Functional: PBE
Structure: relaxed

Unit cell a=5.4925 b=5.4925 c=5.4925 alpha=60.00 beta=60.00 gamma=60.00
Last column: nearest neighbours and their distance in Å.
Element x y z (fractional)
Pr: 0.0000 0.0000 0.0000  4 Ho 3.36
Y: 0.5000 0.5000 0.5000  4 Ho 3.36
Ho: 0.2500 0.2500 0.2500  4 Y 3.36, 4 Pr 3.36

Results
M_tot = 0.0 μB/cell
energy above the most stable polymorph in this dataset = 0.00 eV per formula unit
energy of formation = 0.706 eV/atom

***

Record 6
Compound: TbPaNO
Source: the Open Quantum Materials Database
Functional: PBE
Structure: relaxed

Unit cell a=3.9513 b=3.9513 c=8.4373 alpha=90.00 beta=90.00 gamma=90.00
Last column: nearest neighbours and their distance in Å.
Element x y z (fractional)
Tb: 0.2500 0.7500 0.0000  4 N 2.53, 4 Tb 2.79
Tb: 0.7500 0.2500 0.0000  4 N 2.53, 4 Tb 2.79
Pa: 0.2500 0.2500 0.3453  4 O 2.37
Pa: 0.7500 0.7500 0.6547  4 O 2.37
N: 0.2500 0.2500 0.8127  4 Tb 2.53
N: 0.7500 0.7500 0.1873  4 Tb 2.53
O: 0.2500 0.7500 0.5000  4 Pa 2.37
O: 0.7500 0.2500 0.5000  4 Pa 2.37

Results
M_tot = 2.0 μB/cell
energy above the most stable polymorph in this dataset = 2.47 eV per formula unit

***

Number 1: ρ 11.25 Mg/m³. Number 2: ρ 11.69 Mg/m³. Number 3: ρ 3.88 Mg/m³. Number 4: ρ 8.57 Mg/m³. Number 5: ρ 5.59 Mg/m³. Number 6: ρ 10.59 Mg/m³.